1.
First-principles (GGA-PBE) data for crystalline TbLuSi at its relaxed geometry, as listed in OQMD.

a = 6.7803 Å, b = 6.7803 Å, c = 6.7803 Å
α = 90.00°, β = 90.00°, γ = 90.00°
Space group F-43m (No. 216)
Unique sites:
1 Tb 0.0000 0.0000 0.0000 (multiplicity 4)
2 Lu 0.0000 0.0000 0.5000 (multiplicity 4)
3 Si 0.2500 0.2500 0.7500 (multiplicity 4)

Calculated values
ΔE to the lowest computed polymorph = 0.000 eV/atom
DFT total energy = -5.308 eV/atom


2.
First-principles (GGA-PBE) data for crystalline LuSi2Tc2 at its relaxed geometry, as listed in OQMD.

a = 4.2388 Å, b = 4.2388 Å, c = 9.6432 Å
α = 90.00°, β = 90.00°, γ = 90.00°
Space group I4/mmm (No. 139)
Unique sites:
1 Lu 0.0000 0.0000 0.0000 (multiplicity 2)
2 Si 0.0000 0.5000 0.2500 (multiplicity 4)
3 Tc 0.0000 0.0000 0.3794 (multiplicity 4)

Calculated values
DFT total energy = -7.564 eV/atom


3.
First-principles (GGA-PBE) data for crystalline Lu2Si2Tc at its relaxed geometry, as listed in OQMD.

a = 10.5769 Å, b = 4.1298 Å, c = 9.8878 Å
α = 90.00°, β = 118.03°, γ = 90.00°
Space group C2/m (No. 12)
Unique sites:
1 Lu 0.0055 0.0000 0.1773 (multiplicity 4)
2 Lu 0.1872 0.0000 0.6101 (multiplicity 4)
3 Si 0.0058 0.5000 0.3791 (multiplicity 4)
4 Si 0.1387 0.5000 0.0598 (multiplicity 4)
5 Tc 0.2276 0.5000 0.8688 (multiplicity 4)

Calculated values
DFT total energy = -6.818 eV/atom


4.
First-principles (GGA-PBE) data for crystalline LuSiTc at its relaxed geometry, as listed in OQMD.

a = 6.1371 Å, b = 6.1371 Å, c = 6.1371 Å
α = 90.00°, β = 90.00°, γ = 90.00°
Space group F-43m (No. 216)
Unique sites:
1 Lu 0.0000 0.0000 0.0000 (multiplicity 4)
2 Si 0.2500 0.2500 0.2500 (multiplicity 4)
3 Tc 0.0000 0.0000 0.5000 (multiplicity 4)

Calculated values
ΔE to the lowest computed polymorph = 0.000 eV/atom
DFT total energy = -6.927 eV/atom


5.
First-principles (GGA-PBE) data for crystalline LuSiTc2 at its relaxed geometry, as listed in OQMD.

a = 6.3728 Å, b = 6.3728 Å, c = 6.3728 Å
α = 90.00°, β = 90.00°, γ = 90.00°
Space group F-43m (No. 216)
Unique sites:
1 Lu 0.0000 0.0000 0.0000 (multiplicity 4)
2 Si 0.2500 0.2500 0.7500 (multiplicity 4)
3 Tc 0.0000 0.0000 0.5000 (multiplicity 4)
4 Tc 0.2500 0.2500 0.2500 (multiplicity 4)

Calculated values
DFT total energy = -7.685 eV/atom


6.
First-principles (GGA-PBE) data for crystalline TmLuSi2Tc at its relaxed geometry, as listed in OQMD.

a = 10.6132 Å, b = 4.1399 Å, c = 9.9243 Å
α = 90.00°, β = 118.01°, γ = 90.00°
Space group C2/m (No. 12)
Unique sites:
1 Tm 0.1880 0.0000 0.1105 (multiplicity 4)
2 Lu 0.0049 0.0000 0.6766 (multiplicity 4)
3 Si 0.0048 0.5000 0.8784 (multiplicity 4)
4 Si 0.1384 0.5000 0.5592 (multiplicity 4)
5 Tc 0.2279 0.5000 0.3695 (multiplicity 4)

Calculated values
DFT total energy = -6.811 eV/atom


7.
First-principles (GGA-PBE) data for crystalline LuSiTe at its relaxed geometry, as listed in OQMD.

a = 6.8128 Å, b = 6.8128 Å, c = 6.8128 Å
α = 90.00°, β = 90.00°, γ = 90.00°
Space group F-43m (No. 216)
Unique sites:
1 Lu 0.0000 0.0000 0.0000 (multiplicity 4)
2 Si 0.2500 0.2500 0.2500 (multiplicity 4)
3 Te 0.0000 0.0000 0.5000 (multiplicity 4)

Calculated values
DFT total energy = -4.397 eV/atom


8.
First-principles (GGA-PBE) data for crystalline LuTlSiTe3 at its relaxed geometry, as listed in OQMD.

a = 4.6185 Å, b = 14.8882 Å, c = 11.4317 Å
α = 90.00°, β = 90.00°, γ = 90.00°
Space group Cmcm (No. 63)
Unique sites:
1 Lu 0.0000 0.0000 0.0000 (multiplicity 4)
2 Tl 0.0000 0.2499 0.2500 (multiplicity 4)
3 Si 0.0000 0.4684 0.7500 (multiplicity 4)
4 Te 0.0000 0.0729 0.7500 (multiplicity 4)
5 Te 0.0000 0.3662 0.5503 (multiplicity 8)

Calculated values
DFT total energy = -4.093 eV/atom


9.
First-principles (GGA-PBE) data for crystalline LuTlSi at its relaxed geometry, as listed in OQMD.

a = 6.7730 Å, b = 6.7730 Å, c = 6.7730 Å
α = 90.00°, β = 90.00°, γ = 90.00°
Space group F-43m (No. 216)
Unique sites:
1 Lu 0.0000 0.0000 0.0000 (multiplicity 4)
2 Tl 0.0000 0.0000 0.5000 (multiplicity 4)
3 Si 0.2500 0.2500 0.2500 (multiplicity 4)

Calculated values
ΔE to the lowest computed polymorph = 0.000 eV/atom
DFT total energy = -4.058 eV/atom


10.
First-principles (GGA-PBE) data for crystalline TmLuZn2Si2 at its relaxed geometry, as listed in OQMD.

a = 4.1227 Å, b = 4.1227 Å, c = 15.2341 Å
α = 90.00°, β = 90.00°, γ = 120.00°
Space group P6_3/mmc (No. 194)
Unique sites:
1 Tm 0.0000 0.0000 0.0000 (multiplicity 2)
2 Lu 0.0000 0.0000 0.2500 (multiplicity 2)
3 Zn 0.3333 0.6667 0.1413 (multiplicity 4)
4 Si 0.3333 0.6667 0.6175 (multiplicity 4)

Calculated values
ΔE to the lowest computed polymorph = 0.000 eV/atom
DFT total energy = -4.316 eV/atom


11.
First-principles (GGA-PBE) data for crystalline Lu2SiW at its relaxed geometry, as listed in OQMD.

a = 6.7530 Å, b = 6.7530 Å, c = 6.7530 Å
α = 90.00°, β = 90.00°, γ = 90.00°
Space group F-43m (No. 216)
Unique sites:
1 Lu 0.0000 0.0000 0.0000 (multiplicity 4)
2 Lu 0.2500 0.2500 0.2500 (multiplicity 4)
3 Si 0.0000 0.0000 0.5000 (multiplicity 4)
4 W 0.2500 0.2500 0.7500 (multiplicity 4)

Calculated values
DFT total energy = -6.615 eV/atom


12.
First-principles (GGA-PBE) data for crystalline YLuSi at its relaxed geometry, as listed in OQMD.

a = 6.7715 Å, b = 6.7715 Å, c = 6.7715 Å
α = 90.00°, β = 90.00°, γ = 90.00°
Space group F-43m (No. 216)
Unique sites:
1 Y 0.0000 0.0000 0.0000 (multiplicity 4)
2 Lu 0.0000 0.0000 0.5000 (multiplicity 4)
3 Si 0.2500 0.2500 0.7500 (multiplicity 4)

Calculated values
DFT total energy = -5.933 eV/atom


13.
First-principles (GGA-PBE) data for crystalline Y2LuSi at its relaxed geometry, as listed in OQMD.

a = 7.3350 Å, b = 7.3350 Å, c = 7.3350 Å
α = 90.00°, β = 90.00°, γ = 90.00°
Space group F-43m (No. 216)
Unique sites:
1 Y 0.0000 0.0000 0.0000 (multiplicity 4)
2 Y 0.2500 0.2500 0.2500 (multiplicity 4)
3 Lu 0.2500 0.2500 0.7500 (multiplicity 4)
4 Si 0.0000 0.0000 0.5000 (multiplicity 4)

Calculated values
DFT total energy = -5.708 eV/atom


14.
First-principles (GGA-PBE) data for crystalline YLu2Si at its relaxed geometry, as listed in OQMD.

a = 7.2709 Å, b = 7.2709 Å, c = 7.2709 Å
α = 90.00°, β = 90.00°, γ = 90.00°
Space group F-43m (No. 216)
Unique sites:
1 Y 0.0000 0.0000 0.0000 (multiplicity 4)
2 Lu 0.0000 0.0000 0.5000 (multiplicity 4)
3 Lu 0.2500 0.2500 0.2500 (multiplicity 4)
4 Si 0.2500 0.2500 0.7500 (multiplicity 4)

Calculated values
DFT total energy = -5.261 eV/atom


15.
First-principles (GGA-PBE) data for crystalline YLuZn2Si2 at its relaxed geometry, as listed in OQMD.

a = 4.1305 Å, b = 4.1305 Å, c = 15.4086 Å
α = 90.00°, β = 90.00°, γ = 120.00°
Space group P6_3/mmc (No. 194)
Unique sites:
1 Y 0.0000 0.0000 0.0000 (multiplicity 2)
2 Lu 0.0000 0.0000 0.2500 (multiplicity 2)
3 Zn 0.3333 0.6667 0.1429 (multiplicity 4)
4 Si 0.3333 0.6667 0.6201 (multiplicity 4)

Calculated values
ΔE to the lowest computed polymorph = 0.000 eV/atom
DFT total energy = -4.675 eV/atom


16.
First-principles (GGA-PBE) data for crystalline Lu2ZnSi at its relaxed geometry, as listed in OQMD.

a = 6.9638 Å, b = 6.9638 Å, c = 6.9638 Å
α = 90.00°, β = 90.00°, γ = 90.00°
Space group F-43m (No. 216)
Unique sites:
1 Lu 0.0000 0.0000 0.0000 (multiplicity 4)
2 Lu 0.2500 0.2500 0.2500 (multiplicity 4)
3 Zn 0.2500 0.2500 0.7500 (multiplicity 4)
4 Si 0.0000 0.0000 0.5000 (multiplicity 4)

Calculated values
DFT total energy = -3.763 eV/atom


17.
First-principles (GGA-PBE) data for crystalline Lu2Zn3Si5 at its relaxed geometry, as listed in OQMD.

a = 10.9065 Å, b = 12.1941 Å, c = 5.7223 Å
α = 90.00°, β = 112.14°, γ = 90.00°
Space group C2/c (No. 15)
Unique sites:
1 Lu 0.2349 0.1256 0.2285 (multiplicity 8)
2 Zn 0.0000 0.4958 0.2500 (multiplicity 4)
3 Zn 0.0965 0.1485 0.6155 (multiplicity 8)
4 Si 0.0000 0.0128 0.2500 (multiplicity 4)
5 Si 0.0000 0.2770 0.2500 (multiplicity 4)
6 Si 0.0000 0.3084 0.7500 (multiplicity 4)
7 Si 0.1714 0.3825 0.1888 (multiplicity 8)

Calculated values
DFT total energy = -4.101 eV/atom


18.
First-principles (GGA-PBE) data for crystalline LuZrSi at its relaxed geometry, as listed in OQMD.

a = 6.5177 Å, b = 6.5177 Å, c = 6.5177 Å
α = 90.00°, β = 90.00°, γ = 90.00°
Space group F-43m (No. 216)
Unique sites:
1 Lu 0.0000 0.0000 0.0000 (multiplicity 4)
2 Zr 0.0000 0.0000 0.5000 (multiplicity 4)
3 Si 0.2500 0.2500 0.2500 (multiplicity 4)

Calculated values
DFT total energy = -6.525 eV/atom


19.
First-principles (GGA-PBE) data for crystalline LuZr2Si at its relaxed geometry, as listed in OQMD.

a = 6.9477 Å, b = 6.9477 Å, c = 6.9477 Å
α = 90.00°, β = 90.00°, γ = 90.00°
Space group F-43m (No. 216)
Unique sites:
1 Lu 0.0000 0.0000 0.0000 (multiplicity 4)
2 Zr 0.0000 0.0000 0.5000 (multiplicity 4)
3 Zr 0.2500 0.2500 0.2500 (multiplicity 4)
4 Si 0.2500 0.2500 0.7500 (multiplicity 4)

Calculated values
DFT total energy = -6.839 eV/atom


20.
First-principles (GGA-PBE) data for crystalline SmLu at its relaxed geometry, as listed in OQMD.

a = 3.5955 Å, b = 3.5955 Å, c = 5.6368 Å
α = 90.00°, β = 90.00°, γ = 120.00°
Space group P-6m2 (No. 187)
Unique sites:
1 Sm 0.0000 0.0000 0.0000 (multiplicity 1)
2 Lu 0.3333 0.6667 0.5000 (multiplicity 1)

Calculated values
ΔE to the lowest computed polymorph = 0.000 eV/atom
DFT total energy = -4.590 eV/atom
formation energy = 0.028 eV per atom


21.
First-principles (GGA-PBE) data for crystalline SmLu2 at its relaxed geometry, as listed in OQMD.

a = 9.2925 Å, b = 9.2925 Å, c = 9.2925 Å
α = 90.00°, β = 90.00°, γ = 90.00°
Space group Fd-3m (No. 227, origin choice 2)
Unique sites:
1 Sm 0.1250 0.1250 0.1250 (multiplicity 8)
2 Lu 0.0000 0.0000 0.5000 (multiplicity 16)

Calculated values
ΔE to the lowest computed polymorph = 0.000 eV/atom
DFT total energy = -4.312 eV/atom
formation energy = 0.274 eV per atom


22.
First-principles (GGA-PBE) data for crystalline Sm2Lu at its relaxed geometry, as listed in OQMD.

a = 13.5095 Å, b = 13.5095 Å, c = 13.5095 Å
α = 90.00°, β = 90.00°, γ = 90.00°
Space group Fd-3m (No. 227, origin choice 2)
Unique sites:
1 Sm 0.0000 0.0000 0.0000 (multiplicity 16)
2 Lu 0.1250 0.1250 0.1250 (multiplicity 8)

Calculated values
DFT total energy = -2.002 eV/atom
formation energy = 2.646 eV per atom


23.
First-principles (GGA-PBE) data for crystalline SmLu at its relaxed geometry, as listed in OQMD.

a = 6.8888 Å, b = 6.8888 Å, c = 6.8888 Å
α = 90.00°, β = 90.00°, γ = 90.00°
Space group F-43m (No. 216)
Unique sites:
1 Sm 0.0000 0.0000 0.0000 (multiplicity 4)
2 Lu 0.2500 0.2500 0.2500 (multiplicity 4)

Calculated values
ΔE to the lowest computed polymorph = 1.796 eV/atom
DFT total energy = -2.793 eV/atom
formation energy = 1.824 eV per atom


24.
First-principles (GGA-PBE) data for crystalline SmLu at its relaxed geometry, as listed in OQMD.

a = 6.4358 Å, b = 6.4358 Å, c = 6.4358 Å
α = 90.00°, β = 90.00°, γ = 90.00°
Space group Fm-3m (No. 225)
Unique sites:
1 Sm 0.0000 0.0000 0.0000 (multiplicity 4)
2 Lu 0.0000 0.0000 0.5000 (multiplicity 4)

Calculated values
ΔE to the lowest computed polymorph = 0.711 eV/atom
DFT total energy = -3.879 eV/atom
formation energy = 0.739 eV per atom


25.
First-principles (GGA-PBE) data for crystalline SmLu2 at its relaxed geometry, as listed in OQMD.

a = 14.4446 Å, b = 14.4446 Å, c = 14.4446 Å
α = 90.00°, β = 90.00°, γ = 90.00°
Space group Fd-3m (No. 227, origin choice 2)
Unique sites:
1 Sm 0.1250 0.1250 0.1250 (multiplicity 8)
2 Lu 0.0000 0.0000 0.0000 (multiplicity 16)

Calculated values
ΔE to the lowest computed polymorph = 2.184 eV/atom
DFT total energy = -2.128 eV/atom
formation energy = 2.459 eV per atom


26.
First-principles (GGA-PBE) data for crystalline SmLu2Sn7 at its relaxed geometry, as listed in OQMD.

a = 4.5068 Å, b = 25.2621 Å, c = 4.5303 Å
α = 90.00°, β = 90.00°, γ = 90.00°
Space group Cmmm (No. 65)
Unique sites:
1 Sm 0.0000 0.0000 0.0000 (multiplicity 2)
2 Lu 0.0000 0.1886 0.0000 (multiplicity 4)
3 Sn 0.0000 0.0995 0.5000 (multiplicity 4)
4 Sn 0.0000 0.2912 0.5000 (multiplicity 4)
5 Sn 0.0000 0.4013 0.0000 (multiplicity 4)
6 Sn 0.0000 0.5000 0.5000 (multiplicity 2)

Calculated values
DFT total energy = -4.652 eV/atom


27.
First-principles (GGA-PBE) data for crystalline SmLuSn at its relaxed geometry, as listed in OQMD.

a = 7.2580 Å, b = 7.2580 Å, c = 7.2580 Å
α = 90.00°, β = 90.00°, γ = 90.00°
Space group F-43m (No. 216)
Unique sites:
1 Sm 0.0000 0.0000 0.0000 (multiplicity 4)
2 Lu 0.0000 0.0000 0.5000 (multiplicity 4)
3 Sn 0.2500 0.2500 0.7500 (multiplicity 4)

Calculated values
ΔE to the lowest computed polymorph = 0.000 eV/atom
DFT total energy = -4.776 eV/atom